No. 1
A plane-wave DFT calculation with PBE was carried out for an optimized crystal structure of ZnSe3I.

abc: 5.428 5.428 5.428
angles: 90.00 90.00 90.00
Space group Pm-3m (No. 221)
Asymmetric unit:
Zn (0.000, 0.000, 0.000)
Se (0.000, 0.500, 0.500)
I (0.500, 0.500, 0.500)

Summary:
Formation energy without anion corrections, eV per atom: 0.854
Excess energy over the best structure of this formula in the dataset, meV/atom: 408


No. 2
A plane-wave DFT calculation with PBE was carried out for an optimized crystal structure of Rb2TbPa2Te6.

abc: 7.643 13.248 9.256
angles: 90.00 105.91 90.00
Space group C2/m (No. 12)
Asymmetric unit:
Rb (0.000, 0.166, 0.000)
Tb (0.000, 0.000, 0.500)
Pa (0.000, 0.333, 0.500)
Te (0.230, 0.500, 0.701)
Te (0.235, 0.166, 0.701)

Summary:
Formation energy without anion corrections, eV per atom: -1.068


No. 3
A plane-wave DFT calculation with PBE was carried out for an optimized crystal structure of Tm2NpN4.

abc: 5.731 9.543 3.489
angles: 90.00 90.00 90.00
Space group Pbam (No. 55)
Asymmetric unit:
Tm (0.067, 0.178, 0.000)
Np (0.000, 0.500, 0.500)
N (0.142, 0.697, 0.500)
N (0.233, 0.454, 0.000)

Summary:
Formation energy without anion corrections, eV per atom: -1.493


No. 4
A plane-wave DFT calculation with PBE was carried out for an optimized crystal structure of LiNd2Ge3.

abc: 8.379 8.537 14.705
angles: 90.00 90.00 90.00
Space group Fmmm (No. 69)
Asymmetric unit:
Li (0.000, 0.000, 0.166)
Nd (0.239, 0.000, 0.500)
Nd (0.250, 0.250, 0.250)
Ge (0.000, 0.000, 0.330)
Ge (0.000, 0.240, 0.085)

Summary:
ΔH_f (0 K), eV per atom: -0.72


No. 5
A plane-wave DFT calculation with PBE was carried out for an optimized crystal structure of CsRb2Br3.

abc: 5.032 7.133 15.121
angles: 90.00 90.00 90.00
Space group Immm (No. 71)
Asymmetric unit:
Cs (0.000, 0.000, 0.000)
Rb (0.000, 0.000, 0.334)
Br (0.000, 0.500, 0.000)
Br (0.000, 0.500, 0.325)

Summary:
Formation energy without anion corrections, eV per atom: -1.757
Excess energy over the best structure of this formula in the dataset, meV/atom: 0


No. 6
A plane-wave DFT calculation with PBE was carried out for an optimized crystal structure of ThNi4.

abc: 7.263 5.986 4.136
angles: 90.00 124.47 90.00
Space group C2/m (No. 12)
Asymmetric unit:
Th (0.000, 0.000, 0.000)
Ni (0.000, 0.307, 0.500)
Ni (0.193, 0.500, 0.192)

Summary:
ΔH_f (0 K), eV per atom: -0.23


No. 7
A plane-wave DFT calculation with PBE was carried out for an optimized crystal structure of NaLiHg2.

abc: 3.487 3.487 7.325
angles: 90.00 90.00 90.00
Space group P4/mmm (No. 123)
Asymmetric unit:
Na (0.000, 0.000, 0.000)
Li (0.000, 0.000, 0.500)
Hg (0.500, 0.500, 0.288)

Summary:
ΔH_f (0 K), eV per atom: -0.31
Excess energy over the best structure of this formula in the dataset, meV/atom: 0


No. 8
A plane-wave DFT calculation with PBE was carried out for an optimized crystal structure of Na3Cd9Pd2.

abc: 4.691 11.134 12.250
angles: 90.00 90.00 90.00
Space group Immm (No. 71)
Asymmetric unit:
Na (0.000, 0.000, 0.000)
Na (0.000, 0.000, 0.293)
Cd (0.000, 0.285, 0.136)
Cd (0.000, 0.369, 0.370)
Cd (0.000, 0.500, 0.000)
Pd (0.000, 0.153, 0.500)

Summary:
ΔH_f (0 K), eV per atom: -0.16


No. 9
A plane-wave DFT calculation with PBE was carried out for an optimized crystal structure of Sb2W2S.

abc: 7.520 7.520 3.447
angles: 90.00 90.00 90.00
Space group P4/mbm (No. 127)
Asymmetric unit:
Sb (0.154, 0.346, 0.000)
W (0.138, 0.638, 0.500)
S (0.000, 0.000, 0.500)

Summary:
Formation energy without anion corrections, eV per atom: 0.637
Excess energy over the best structure of this formula in the dataset, meV/atom: 0


No. 10
A plane-wave DFT calculation with PBE was carried out for an optimized crystal structure of Y3Tm2Se6.

abc: 4.0819 4.0819 60.4147
angles: 90.00 90.00 120.00
Space group R-3m (No. 166, hexagonal axes)
Asymmetric unit:
Y (0.0000, 0.0000, 0.0000)
Y (0.0000, 0.0000, 0.2789)
Tm (0.0000, 0.0000, 0.4471)
Se (0.0000, 0.0000, 0.0835)
Se (0.0000, 0.0000, 0.1968)
Se (0.0000, 0.0000, 0.3609)

Summary:
Formation energy without anion corrections, eV per atom: -1.776
Excess energy over the best structure of this formula in the dataset, meV/atom: 73


No. 11
A plane-wave DFT calculation with PBE was carried out for an optimized crystal structure of BeOsRu.

abc: 3.5422 3.5422 9.4794
angles: 90.00 90.00 120.00
Space group P6_3/mmc (No. 194)
Asymmetric unit:
Be (0.3333, 0.6667, 0.2500)
Os (0.0000, 0.0000, 0.0000)
Ru (0.0000, 0.0000, 0.2500)

Summary:
ΔH_f (0 K), eV per atom: 1.92


No. 12
A plane-wave DFT calculation with PBE was carried out for an optimized crystal structure of BaLa2In2Hg2.

abc: 5.0596 5.0596 30.4789
angles: 90.00 90.00 120.00
Space group R-3m (No. 166, hexagonal axes)
Asymmetric unit:
Ba (0.0000, 0.0000, 0.0000)
La (0.0000, 0.0000, 0.1393)
In (0.0000, 0.0000, 0.2574)
Hg (0.0000, 0.0000, 0.4328)

Summary:
ΔH_f (0 K), eV per atom: -0.41


No. 13
A plane-wave DFT calculation with PBE was carried out for an optimized crystal structure of Pm2Er7Tm2.

abc: 11.134 11.417 6.029
angles: 90.00 113.79 90.00
Space group C2/m (No. 12)
Asymmetric unit:
Pm (0.090, 0.000, 0.304)
Er (0.000, 0.500, 0.500)
Er (0.175, 0.263, 0.680)
Er (0.227, 0.500, 0.080)
Tm (0.000, 0.286, 0.000)

Summary:
ΔH_f (0 K), eV per atom: 0.16


No. 14
A plane-wave DFT calculation with PBE was carried out for an optimized crystal structure of InTe2As.

abc: 4.3105 4.3105 22.0215
angles: 90.00 90.00 120.00
Space group R-3m (No. 166, hexagonal axes)
Asymmetric unit:
In (0.0000, 0.0000, 0.0000)
Te (0.0000, 0.0000, 0.2397)
As (0.0000, 0.0000, 0.5000)

Summary:
Formation energy without anion corrections, eV per atom: -0.096
Excess energy over the best structure of this formula in the dataset, meV/atom: 0


No. 15
A plane-wave DFT calculation with PBE was carried out for an optimized crystal structure of HIrI2.

abc: 5.787 5.787 11.449
angles: 90.00 90.00 90.00
Space group I-42d (No. 122)
Asymmetric unit:
H (0.000, 0.000, 0.000)
Ir (0.000, 0.000, 0.500)
I (0.227, 0.250, 0.125)

Summary:
Excess energy over the best structure of this formula in the dataset, meV/atom: 0


No. 16
A plane-wave DFT calculation with PBE was carried out for an optimized crystal structure of Co2PtBr.

abc: 6.215 6.215 6.215
angles: 90.00 90.00 90.00
Space group Fm-3m (No. 225)
Asymmetric unit:
Co (0.250, 0.250, 0.250)
Pt (0.000, 0.000, 0.000)
Br (0.000, 0.000, 0.500)

Summary:
Formation energy without anion corrections, eV per atom: 0.677
Excess energy over the best structure of this formula in the dataset, meV/atom: 377


No. 17
A plane-wave DFT calculation with PBE was carried out for an optimized crystal structure of Er6Cu2Hg.

abc: 9.372 9.628 10.062
angles: 90.00 90.00 90.00
Space group Immm (No. 71)
Asymmetric unit:
Er (0.000, 0.196, 0.241)
Er (0.198, 0.500, 0.177)
Er (0.217, 0.317, 0.500)
Cu (0.000, 0.354, 0.000)
Cu (0.000, 0.500, 0.379)
Hg (0.000, 0.000, 0.000)
Hg (0.000, 0.000, 0.500)

Summary:
ΔH_f (0 K), eV per atom: -0.23


No. 18
A plane-wave DFT calculation with PBE was carried out for an optimized crystal structure of AcPm8Tl6.

abc: 9.4710 9.4710 19.7098
angles: 90.00 90.00 120.00
Space group R-3 (No. 148, hexagonal axes)
Asymmetric unit:
Ac (0.0000, 0.0000, 0.0000)
Pm (0.0000, 0.0000, 0.3313)
Pm (0.0012, 0.6702, 0.1106)
Tl (0.0008, 0.3441, 0.0610)

Summary:
ΔH_f (0 K), eV per atom: -0.16


No. 19
A plane-wave DFT calculation with PBE was carried out for an optimized crystal structure of Zr2Ti2AlCo5.

abc: 9.809 9.809 2.986
angles: 90.00 90.00 90.00
Space group P4/mbm (No. 127)
Asymmetric unit:
Zr (0.175, 0.325, 0.000)
Ti (0.132, 0.632, 0.000)
Al (0.000, 0.000, 0.000)
Co (0.000, 0.500, 0.500)
Co (0.043, 0.803, 0.500)

Summary:
ΔH_f (0 K), eV per atom: -0.16


No. 20
A plane-wave DFT calculation with PBE was carried out for an optimized crystal structure of TaTl2Ru.

abc: 3.148 3.147 8.859
angles: 90.00 100.23 90.00
Space group Pm (No. 6)
Asymmetric unit:
Ta (0.000, 0.000, 0.000)
Tl (0.202, 0.000, 0.405)
Tl (0.368, 0.500, 0.739)
Ru (0.580, 0.500, 0.160)

Summary:
ΔH_f (0 K), eV per atom: 0.20
Excess energy over the best structure of this formula in the dataset, meV/atom: 0


No. 21
A plane-wave DFT calculation with PBE was carried out for an optimized crystal structure of Rb5TlO4.

abc: 8.549 9.002 6.703
angles: 90.00 90.00 90.00
Space group Pmmn (No. 59, origin choice 2)
Asymmetric unit:
Rb (0.010, 0.058, 0.240)
Rb (0.250, 0.750, 0.341)
Tl (0.250, 0.250, 0.709)
O (0.027, 0.250, 0.883)
O (0.250, 0.036, 0.534)

Summary:
Formation energy without anion corrections, eV per atom: -1.038
Excess energy over the best structure of this formula in the dataset, meV/atom: 0


No. 22
A plane-wave DFT calculation with PBE was carried out for an optimized crystal structure of LaMg3As3.

abc: 7.6806 7.6806 21.4744
angles: 90.00 90.00 120.00
Space group R-3 (No. 148, hexagonal axes)
Asymmetric unit:
La (0.0000, 0.0000, 0.1666)
Mg (0.0067, 0.3182, 0.6210)
As (0.0039, 0.3506, 0.4155)

Summary:
ΔH_f (0 K), eV per atom: -0.89


no.,calculated volume (Å³/cell)
1,160.0
2,901.3
3,190.8
4,1051.8
5,542.7
6,148.2
7,89.0
8,639.9
9,194.9
10,871.8
11,103.0
12,675.7
13,701.3
14,354.3
15,383.4
16,240.0
17,908.0
18,1531.1
19,287.4
20,86.4
21,515.9
22,1097.1